No. 1
Density functional theory data (GGA-PBE) for a geometry-optimized Mg3TlSe structure.

abc: 5.1213 5.1213 5.1213
angles: 90.00 90.00 90.00
Closest atoms and distances in Å follow each position.
Atoms (fractional coordinates):
Mg1 0.0000 0.0000 0.5000  2 Se 2.56
Mg2 0.0000 0.5000 0.0000  2 Se 2.56
Mg3 0.5000 0.0000 0.0000  2 Se 2.56
Tl1 0.5000 0.5000 0.5000  12 Mg 3.62
Se1 0.0000 0.0000 0.0000  6 Mg 2.56

## Properties
Total DFT energy (no corrections)   -10.97 eV for the cell shown

=====

No. 2
Density functional theory data (GGA-PBE) for a geometry-optimized MgTl4Se structure.

abc: 6.3996 6.3996 6.3996
angles: 60.00 60.00 60.00
Closest atoms and distances in Å follow each position.
Atoms (fractional coordinates):
Mg1 0.0000 0.0000 0.0000  12 Tl 3.75, 4 Se 3.92
Tl1 0.3754 0.3754 0.3754  6 Tl 3.19-3.21
Tl2 0.3754 0.3754 0.8739  6 Tl 3.19-3.21
Tl3 0.3754 0.8739 0.3754  6 Tl 3.19-3.21
Tl4 0.8739 0.3754 0.3754  6 Tl 3.19-3.21
Se1 0.7500 0.7500 0.7500  12 Tl 3.75, 4 Mg 3.92

## Properties
Total DFT energy (no corrections)   -13.66 eV for the cell shown

=====

No. 3
Density functional theory data (GGA-PBE) for a geometry-optimized MgTlSe2 structure.

abc: 7.5904 7.5904 7.5904
angles: 151.43 151.13 41.06
Closest atoms and distances in Å follow each position.
Atoms (fractional coordinates):
Mg1 0.0000 0.0000 0.0000  6 Se 2.77-2.84
Tl1 0.7527 0.2527 0.5000  6 Se 3.08-3.17
Se1 0.1435 0.6435 0.5000  2 Mg 2.77, 4 Tl 3.08
Se2 0.4314 0.4314 0.0000  4 Mg 2.84, 2 Tl 3.17

## Properties
Total DFT energy (no corrections)   -13.18 eV for the cell shown

=====

No. 4
Density functional theory data (GGA-PBE) for a geometry-optimized MgTl2Se2 structure.

abc: 7.4818 7.4818 5.0240
angles: 90.00 90.00 90.00
Closest atoms and distances in Å follow each position.
Atoms (fractional coordinates):
Mg1 0.0000 0.0000 0.0000  4 Se 2.75
Mg2 0.5000 0.5000 0.0000  4 Se 2.75
Tl1 0.1481 0.3519 0.5000  2 Se 3.10, 1 Tl 3.13
Tl2 0.3519 0.8519 0.5000  2 Se 3.10, 1 Tl 3.13
Tl3 0.6481 0.1481 0.5000  2 Se 3.10, 1 Tl 3.13
Tl4 0.8519 0.6481 0.5000  2 Se 3.10, 1 Tl 3.13
Se1 0.1797 0.6797 0.0000  2 Mg 2.75
Se2 0.3203 0.1797 0.0000  2 Mg 2.75
Se3 0.6797 0.8203 0.0000  2 Mg 2.75
Se4 0.8203 0.3203 0.0000  2 Mg 2.75

## Properties
Total DFT energy (no corrections)   -30.75 eV for the cell shown

=====

Number 1: DOS at the Fermi energy 2.2 states/eV per cell, ΔE_f (raw) -0.07 eV/atom, ρ 4.40 g/cm3. Number 2: DOS at the Fermi energy 3.7 states/eV per cell, ΔE_f (raw) 0.15 eV/atom, ρ 8.25 g/cm3. Number 3: DOS at the Fermi energy 1.2 states/eV per cell, ΔE_f (raw) -0.56 eV/atom, ρ 6.37 g/cm3. Number 4: DOS at the Fermi energy 1.2 states/eV per cell, ΔE_f (raw) -0.42 eV/atom, ρ 6.98 g/cm3.